[1]
VASP calculation (PBE) on crystalline TbNd2Rh3 at its relaxed geometry.

Unit cell a=4.1248 b=5.7418 c=6.9623 alpha=114.35 beta=107.23 gamma=90.00
Closest atoms and distances in Å follow each position.
Element x y z (fractional)
Tb  0.0000  0.5000  0.0000  6 Rh 2.80-2.87
Nd  0.6688  0.1688  0.3376  6 Rh 2.87-2.93
Nd  0.3312  0.8312  0.6624  6 Rh 2.87-2.93
Rh  0.3424  0.3424  0.6848  2 Tb 2.80, 4 Nd 2.87-2.93
Rh  0.0000  0.0000  0.0000  2 Tb 2.87, 4 Nd 2.89
Rh  0.6576  0.6576  0.3152  2 Tb 2.80, 4 Nd 2.87-2.93

formation enthalpy at 0 K: -0.5295 eV per atom
space-group type: Immm



[2]
VASP calculation (PBE) on crystalline Rb4H6Rh at its relaxed geometry.

Unit cell a=8.0914 b=8.0914 c=8.0913 alpha=91.36 beta=91.36 gamma=88.64
Closest atoms and distances in Å follow each position.
Element x y z (fractional)
Rb  0.3263  0.1737  0.2500  6 H 2.93-2.96
Rb  0.8263  0.2500  0.3263  6 H 2.93-2.96
Rb  0.2500  0.6737  0.1737  6 H 2.93-2.96
Rb  0.2500  0.2500  0.7500  6 H 2.95
Rb  0.7500  0.7500  0.2500  6 H 2.95
Rb  0.7500  0.3263  0.8263  6 H 2.93-2.96
Rb  0.1737  0.7500  0.6737  6 H 2.93-2.96
Rb  0.6737  0.8263  0.7500  6 H 2.93-2.96
H  0.7957  0.0325  0.0327  1 Rh 1.69
H  0.0327  0.2043  0.0325  1 Rh 1.69
H  0.5327  0.4675  0.2957  1 Rh 1.69
H  0.9675  0.0327  0.7957  1 Rh 1.69
H  0.5325  0.2957  0.5327  1 Rh 1.69
H  0.2957  0.4673  0.4675  1 Rh 1.69
H  0.7043  0.5327  0.5325  1 Rh 1.69
H  0.4675  0.7043  0.4673  1 Rh 1.69
H  0.0325  0.9673  0.2043  1 Rh 1.69
H  0.4673  0.5325  0.7043  1 Rh 1.69
H  0.9673  0.7957  0.9675  1 Rh 1.69
H  0.2043  0.9675  0.9673  1 Rh 1.69
Rh  0.5000  0.5000  0.5000  6 H 1.69
Rh  0.0000  0.0000  0.0000  6 H 1.69

space-group type: R-3c



[3]
VASP calculation (PBE) on crystalline Tc2RhSe at its relaxed geometry.

Unit cell a=5.2589 b=5.2589 c=5.2589 alpha=146.98 beta=130.72 gamma=60.60
Closest atoms and distances in Å follow each position.
Element x y z (fractional)
Rh  0.7500  0.2500  0.5000  4 Se 2.65, 4 Tc 2.94
Se  0.2500  0.7500  0.5000  4 Tc 2.47, 4 Rh 2.65
Tc  0.0337  0.0337  0.0000  2 Se 2.47, 4 Tc 2.72
Tc  0.4663  0.4663  0.0000  2 Se 2.47, 4 Tc 2.72

space-group type: Immm



Values for Fermi-level density of states, states/eV/atom, ordered as above
0.148; 0.208; 0.871
Values for final energy, eV per formula unit, ordered as above
-39.4; -33.9; -30.9